# 1
VASP calculation (PBE-GGA) on a geometry-optimized Th6AsC2S3 structure.

a = 3.9554 Å, b = 8.1542 Å, c = 8.9864 Å
α = 103.68°, β = 102.71°, γ = 90.00°
Fractional coordinates of all 12 atoms:
Th: 0.3285 0.8818 0.6570
Th: 0.6749 0.5646 0.3498
Th: 0.6715 0.1182 0.3430
Th: 0.0148 0.2646 0.0296
Th: 0.9852 0.7354 0.9704
Th: 0.3251 0.4354 0.6502
As: 0.5000 0.0000 0.0000
C: 0.8287 0.6642 0.6573
C: 0.1713 0.3358 0.3427
S: 0.5000 0.5000 0.0000
S: 0.8390 0.1669 0.6781
S: 0.1610 0.8331 0.3219

Properties
formation energy from raw total energies = -1.295 eV per atom
V = 22.86 Å³/atom
M_tot = 0.00 μB per cell


# 2
VASP calculation (PBE-GGA) on a geometry-optimized DyZr2Np structure.

a = 3.2716 Å, b = 3.2716 Å, c = 10.9163 Å
α = 81.38°, β = 81.38°, γ = 60.00°
Fractional coordinates of all 4 atoms:
Np: 0.0000 0.0000 0.0000
Zr: 0.2535 0.2535 0.2394
Zr: 0.7465 0.7465 0.7606
Dy: 0.5000 0.5000 0.5000

Properties
distance to the lowest polymorph of the same formula = 0.00 eV per formula unit
V = 24.91 Å³/atom
M_tot = 3.75 μB per cell


# 3
VASP calculation (PBE-GGA) on a geometry-optimized Pr2Sn3Pb3 structure.

a = 4.8424 Å, b = 4.8838 Å, c = 9.7954 Å
α = 90.00°, β = 90.00°, γ = 90.00°
Fractional coordinates of all 8 atoms:
Pr: 0.0000 0.0000 0.7565
Pr: 0.0000 0.0000 0.2435
Sn: 0.5000 0.5000 0.7525
Sn: 0.5000 0.5000 0.2475
Sn: 0.5000 0.0000 0.0000
Pb: 0.5000 0.0000 0.5000
Pb: 0.0000 0.5000 0.0000
Pb: 0.0000 0.5000 0.5000

Properties
V = 28.96 Å³/atom
electronic total energy = -36.2 eV/cell
M_tot = 0.00 μB per cell


# 4
VASP calculation (PBE-GGA) on a geometry-optimized TcIr3Au structure.

a = 4.6828 Å, b = 4.6828 Å, c = 4.6828 Å
α = 90.00°, β = 90.00°, γ = 90.00°
Fractional coordinates of all 5 atoms:
Ir: 0.0000 0.5000 0.0000
Ir: 0.0000 0.0000 0.5000
Ir: 0.5000 0.0000 0.0000
Au: 0.5000 0.5000 0.5000
Tc: 0.0000 0.0000 0.0000

Properties
distance to the lowest polymorph of the same formula = 0.00 eV per formula unit
V = 20.54 Å³/atom
M_tot = 0.00 μB per cell


# 5
VASP calculation (PBE-GGA) on a geometry-optimized NaCdBPt2 structure.

a = 4.1951 Å, b = 4.1951 Å, c = 4.7254 Å
α = 90.00°, β = 90.00°, γ = 90.00°
Fractional coordinates of all 5 atoms:
Na: 0.5000 0.5000 0.5000
B: 0.0000 0.0000 0.0000
Pt: 0.0000 0.5000 0.0000
Pt: 0.5000 0.0000 0.0000
Cd: 0.0000 0.0000 0.5000

Properties
distance to the lowest polymorph of the same formula = 0.00 eV per formula unit
V = 16.63 Å³/atom
M_tot = 0.00 μB per cell


# 6
VASP calculation (PBE-GGA) on a geometry-optimized SrPmH3 structure.

a = 4.4501 Å, b = 4.4501 Å, c = 4.4501 Å
α = 90.00°, β = 90.00°, γ = 90.00°
Fractional coordinates of all 5 atoms:
Sr: 0.5000 0.5000 0.5000
H: 0.0000 0.5000 0.0000
H: 0.0000 0.0000 0.5000
H: 0.5000 0.0000 0.0000
Pm: 0.0000 0.0000 0.0000

Properties
V = 17.63 Å³/atom
electronic total energy = -18.1 eV/cell
M_tot = 0.00 μB per cell


# 7
VASP calculation (PBE-GGA) on a geometry-optimized Pm4SmY2 structure.

a = 12.6015 Å, b = 12.6015 Å, c = 6.8362 Å
α = 97.04°, β = 97.04°, γ = 150.11°
Fractional coordinates of all 14 atoms:
Pm: 0.7136 0.1781 0.8692
Pm: 0.1781 0.7136 0.3692
Pm: 0.1849 0.7927 0.8996
Pm: 0.7927 0.1849 0.3996
Pm: 0.0355 0.1433 0.6009
Pm: 0.5591 0.5946 0.1312
Pm: 0.5946 0.5591 0.6312
Pm: 0.1433 0.0355 0.1009
Sm: 0.4286 0.6786 0.5002
Sm: 0.6786 0.4286 0.0002
Y: 0.6205 0.3020 0.4467
Y: 0.9241 0.1056 0.0538
Y: 0.1056 0.9241 0.5538
Y: 0.3020 0.6205 0.9467

Properties
distance to the lowest polymorph of the same formula = 0.00 eV per formula unit
V = 34.00 Å³/atom
M_tot = 0.00 μB per cell


# 8
VASP calculation (PBE-GGA) on a geometry-optimized Na2LiO2 structure.

a = 5.8809 Å, b = 5.8809 Å, c = 3.3889 Å
α = 90.00°, β = 90.00°, γ = 90.00°
Fractional coordinates of all 10 atoms:
Na: 0.1430 0.6430 0.5000
Na: 0.6430 0.8570 0.5000
Na: 0.8570 0.3570 0.5000
Na: 0.3570 0.1430 0.5000
O: 0.3333 0.8333 0.0000
O: 0.8333 0.6667 0.0000
O: 0.6667 0.1667 0.0000
O: 0.1667 0.3333 0.0000
Li: 0.0000 0.0000 0.0000
Li: 0.5000 0.5000 0.0000

Properties
formation energy from raw total energies = -1.080 eV per atom
V = 11.72 Å³/atom
M_tot = 2.00 μB per cell